# Zr4P GGA-PBEsol optimized geometry
data_Zr4P
_chemical_formula_sum 'Zr8 P2'
_cell_length_a 3.653
_cell_length_b 3.653
_cell_length_c 15.999
_cell_angle_alpha 90.00
_cell_angle_beta 90.00
_cell_angle_gamma 90.00
_space_group_name_H-M_alt 'I 4/m m m'
_space_group_IT_number 139
_space_group_name_Hall '-I 4 2'
loop_
_atom_site_label
_atom_site_type_symbol
_atom_site_fract_x
_atom_site_fract_y
_atom_site_fract_z
Zr1 Zr 0.000 0.000 0.085
Zr2 Zr 0.000 0.500 0.250
P1 P 0.000 0.000 0.500
# ΔH_f (0 K): 0.3321 eV/atom
# M_tot: 0.00 μB per cell
# Energy above the most stable polymorph in this dataset: 713 meV per atom

=====

# Zr2P GGA-PBEsol optimized geometry
data_Zr2P
_chemical_formula_sum 'Zr8 P4'
_cell_length_a 3.194
_cell_length_b 3.194
_cell_length_c 23.103
_cell_angle_alpha 90.00
_cell_angle_beta 90.00
_cell_angle_gamma 90.00
_space_group_name_H-M_alt 'I 41/a m d'
_space_group_IT_number 141
loop_
_space_group_symop_operation_xyz
'x,y,z'
'-x,-y,-z'
'-y+1/4,x+3/4,z+1/4'
'y+1/4,-x+3/4,-z+1/4'
'-x+1/2,-y,z+1/2'
'x+1/2,y,-z+1/2'
'y+1/4,-x+1/4,z+3/4'
'-y+1/4,x+1/4,-z+3/4'
'x,-y,-z'
'-x,y,z'
'-y+1/4,-x+1/4,-z+3/4'
'y+1/4,x+1/4,z+3/4'
'-x+1/2,y,-z+1/2'
'x+1/2,-y,z+1/2'
'y+1/4,x+3/4,-z+1/4'
'-y+1/4,-x+3/4,z+1/4'
'x+1/2,y+1/2,z+1/2'
'-x+1/2,-y+1/2,-z+1/2'
'-y+3/4,x+1/4,z+3/4'
'y+3/4,-x+1/4,-z+3/4'
'-x,-y+1/2,z'
'x,y+1/2,-z'
'y+3/4,-x+3/4,z+1/4'
'-y+3/4,x+3/4,-z+1/4'
'x+1/2,-y+1/2,-z+1/2'
'-x+1/2,y+1/2,z+1/2'
'-y+3/4,-x+3/4,-z+1/4'
'y+3/4,x+3/4,z+1/4'
'-x,y+1/2,-z'
'x,-y+1/2,z'
'y+3/4,x+1/4,-z+3/4'
'-y+3/4,-x+1/4,z+3/4'
loop_
_atom_site_label
_atom_site_type_symbol
_atom_site_fract_x
_atom_site_fract_y
_atom_site_fract_z
Zr1 Zr 0.000 0.250 0.310
P1 P 0.000 0.250 0.875
# ΔH_f (0 K): -0.5718 eV/atom
# M_tot: 0.00 μB per cell

=====

# ZrP2 GGA-PBEsol optimized geometry
data_ZrP2
_chemical_formula_sum 'Zr4 P8'
_cell_length_a 5.544
_cell_length_b 5.544
_cell_length_c 6.590
_cell_angle_alpha 90.00
_cell_angle_beta 90.00
_cell_angle_gamma 90.00
_space_group_name_H-M_alt 'I 4/m c m'
_space_group_IT_number 140
_space_group_name_Hall '-I 4 2c'
loop_
_atom_site_label
_atom_site_type_symbol
_atom_site_fract_x
_atom_site_fract_y
_atom_site_fract_z
Zr1 Zr 0.000 0.000 0.250
P1 P 0.138 0.362 0.000
# ΔH_f (0 K): -1.0435 eV/atom
# M_tot: 0.00 μB per cell

=====

# ZrP GGA-PBEsol optimized geometry
data_ZrP
_chemical_formula_sum 'Zr4 P4'
_cell_length_a 5.231
_cell_length_b 5.231
_cell_length_c 5.231
_cell_angle_alpha 90.00
_cell_angle_beta 90.00
_cell_angle_gamma 90.00
_space_group_name_H-M_alt 'F m -3 m'
_space_group_IT_number 225
_space_group_name_Hall '-F 4 2 3'
loop_
_atom_site_label
_atom_site_type_symbol
_atom_site_fract_x
_atom_site_fract_y
_atom_site_fract_z
Zr1 Zr 0.000 0.000 0.000
P1 P 0.000 0.000 0.500
# ΔH_f (0 K): -1.4146 eV/atom
# M_tot: 0.00 μB per cell

=====

# Zr4P GGA-PBEsol optimized geometry
data_Zr4P
_chemical_formula_sum 'Zr8 P2'
_cell_length_a 7.815
_cell_length_b 7.815
_cell_length_c 3.288
_cell_angle_alpha 90.00
_cell_angle_beta 90.00
_cell_angle_gamma 90.00
_space_group_name_H-M_alt 'I 4/m'
_space_group_IT_number 87
_space_group_name_Hall '-I 4'
loop_
_atom_site_label
_atom_site_type_symbol
_atom_site_fract_x
_atom_site_fract_y
_atom_site_fract_z
Zr1 Zr 0.074 0.278 0.000
P1 P 0.000 0.000 0.500
# ΔH_f (0 K): -0.3807 eV/atom
# M_tot: 0.00 μB per cell
# Energy above the most stable polymorph in this dataset: 0 meV per atom

=====

# Zr2P GGA-PBEsol optimized geometry
data_Zr2P
_chemical_formula_sum 'Zr4 P2'
_cell_length_a 4.6855
_cell_length_b 4.6855
_cell_length_c 5.5198
_cell_angle_alpha 90.00
_cell_angle_beta 90.00
_cell_angle_gamma 120.00
_space_group_name_H-M_alt 'P 63/m m c'
_space_group_IT_number 194
_space_group_name_Hall '-P 6c 2c'
loop_
_atom_site_label
_atom_site_type_symbol
_atom_site_fract_x
_atom_site_fract_y
_atom_site_fract_z
Zr1 Zr 0.0000 0.0000 0.0000
Zr2 Zr 0.3333 0.6667 0.2500
P1 P 0.3333 0.6667 0.7500
# ΔH_f (0 K): -0.7955 eV/atom
# M_tot: 0.00 μB per cell

=====

# ZrP GGA-PBEsol optimized geometry
data_ZrP
_chemical_formula_sum 'Zr1 P1'
_cell_length_a 3.5345
_cell_length_b 3.5345
_cell_length_c 3.3987
_cell_angle_alpha 90.00
_cell_angle_beta 90.00
_cell_angle_gamma 120.00
_space_group_name_H-M_alt 'P -6 m 2'
_space_group_IT_number 187
_space_group_name_Hall 'P -6 2'
loop_
_atom_site_label
_atom_site_type_symbol
_atom_site_fract_x
_atom_site_fract_y
_atom_site_fract_z
Zr1 Zr 0.0000 0.0000 0.0000
P1 P 0.6667 0.3333 0.5000
# ΔH_f (0 K): -1.2377 eV/atom
# M_tot: 0.54 μB per cell

=====

# ZrP5 GGA-PBEsol optimized geometry
data_ZrP5
_chemical_formula_sum 'Zr1 P5'
_cell_length_a 4.6913
_cell_length_b 4.6913
_cell_length_c 5.0307
_cell_angle_alpha 90.00
_cell_angle_beta 90.00
_cell_angle_gamma 120.00
_space_group_name_H-M_alt 'P 6/m m m'
_space_group_IT_number 191
_space_group_name_Hall '-P 6 2'
loop_
_atom_site_label
_atom_site_type_symbol
_atom_site_fract_x
_atom_site_fract_y
_atom_site_fract_z
Zr1 Zr 0.0000 0.0000 0.0000
P1 P 0.0000 0.5000 0.5000
P2 P 0.3333 0.6667 0.0000
# ΔH_f (0 K): 0.2541 eV/atom
# M_tot: 0.00 μB per cell

=====

- Which value of M_tot does entry 1 give?
  0.00 μB per cell

=====

- M_tot of number 8 (ZrP5)?
  0.00 μB per cell

=====

- Which formula does entry 1 have?
  Zr4P